Density functional theory data (PBE-GGA) for a relaxed Sr3SiPb2 crystal.

```
Sr3SiPb2
1.0
4.626 0.000 0.000
0.000 13.542 0.000
0.000 0.000 13.294
Si Pb Sr
4 8 12
Direct
0.250 0.148 0.143
0.750 0.852 0.857
0.250 0.352 0.643
0.750 0.648 0.357
0.750 0.313 0.519
0.250 0.490 0.803
0.750 0.990 0.697
0.750 0.510 0.197
0.750 0.187 0.019
0.250 0.687 0.481
0.250 0.010 0.303
0.250 0.813 0.981
0.250 0.714 0.214
0.250 0.044 0.886
0.750 0.956 0.114
0.250 0.786 0.714
0.750 0.286 0.786
0.750 0.878 0.433
0.750 0.214 0.286
0.250 0.456 0.386
0.750 0.544 0.614
0.250 0.378 0.067
0.750 0.622 0.933
0.250 0.122 0.567
```

Results
- E_form (uncorrected) (eV per atom) = -0.420